A geometry-optimized CaV2Bi2Pb2O10 structure, computed with PBE with a Hubbard U.

Cell lengths 6.7616, 6.7616, 7.4255 Å; angles 82.75, 82.75, 67.30 degrees
Closest atoms and distances in Å follow each position.
Fractional coordinates of all 17 atoms:
Ca  0.1894  0.8106  0.5000  6 O 2.30-2.51
V  0.1294  0.2899  0.3923  4 O 1.74-1.91
V  0.7101  0.8706  0.6077  4 O 1.74-1.91
Bi  0.6969  0.3611  0.7706  3 O 2.19-2.22
Bi  0.6389  0.3031  0.2294  3 O 2.19-2.22
Pb  0.2795  0.0181  0.8781  3 O 2.36-2.55
Pb  0.9819  0.7205  0.1219  3 O 2.36-2.55
O  0.8564  0.1436  0.0000  2 Bi 2.20
O  0.4810  0.5190  0.0000  2 Bi 2.19
O  0.4938  0.7672  0.6340  1 V 1.83
O  0.2328  0.5062  0.3660  1 V 1.83
O  0.9364  0.7361  0.7275  1 V 1.74
O  0.2639  0.0636  0.2725  1 V 1.74
O  0.8308  0.9258  0.3742  1 V 1.88
O  0.0742  0.1692  0.6258  1 V 1.88
O  0.5519  0.1331  0.7173  1 V 1.91
O  0.8669  0.4481  0.2827  1 V 1.91

Output
Space-group type = C2 (5)
Size of the total moment = 0.1176 μB/atom
Total energy = -6.4037 eV/atom